Y2PW after structural relaxation. Source: Alexandria via LeMat-Bulk, functional GGA-PBE.

POSCAR file:
```
Y2PW
1.0
8.634 -1.792 0.000
8.634 1.792 0.000
8.262 0.000 3.081
W Y P
1 2 1
direct
0.226 0.226 0.226
0.777 0.777 0.777
0.985 0.985 0.985
0.512 0.512 0.512
```

Summary:
The raw total energy is -31.994 eV per cell. Its space-group type is R3m (160). As for the energy of formation from the pure elements: -0.176 eV/atom.


La8SeN4 after structural relaxation. Source: Alexandria via LeMat-Bulk, functional GGA-PBE.

POSCAR file:
```
La8SeN4
1.0
7.890 0.000 0.000
3.945 6.833 0.000
3.945 2.278 6.442
La N Se
8 4 1
direct
0.141 0.141 0.577
0.607 0.607 0.607
0.141 0.577 0.141
0.141 0.141 0.141
0.607 0.180 0.607
0.577 0.141 0.141
0.180 0.607 0.607
0.607 0.607 0.180
0.881 0.373 0.373
0.373 0.373 0.881
0.373 0.881 0.373
0.373 0.373 0.373
0.750 0.750 0.750
```

Summary:
The raw total energy is -88.250 eV per cell. Its space-group type is F-43m (216). The uncorrected formation energy is -0.926 eV per atom.


VFePN2 after structural relaxation. Source: Alexandria via LeMat-Bulk, functional GGA-PBE.

POSCAR file:
```
VFePN2
1.0
-2.099 1.381 2.342
-3.753 -3.900 -1.064
1.389 -1.999 2.423
Fe N V P
1 2 1 1
direct
0.000 0.000 0.000
0.500 0.000 0.000
0.000 0.000 0.500
0.000 0.500 0.000
0.500 0.500 0.500
```

Summary:
The raw total energy is -36.016 eV per cell. Its space-group type is P4/mmm (123). The uncorrected formation energy is 0.725 eV per atom.


SmPaIr after structural relaxation. Source: Alexandria via LeMat-Bulk, functional GGA-PBE.

POSCAR file:
```
SmPaIr
1.0
4.830 0.000 0.000
2.415 4.183 0.000
2.415 1.394 3.944
Ir Sm Pa
1 1 1
direct
0.250 0.250 0.250
0.000 0.000 0.000
0.500 0.500 0.500
```

Summary:
The raw total energy is -23.877 eV per cell. Its space-group type is F-43m (216). As for the energy of formation from the pure elements: -0.267 eV/atom. The energy above the most stable polymorph in this dataset is 0.84 eV per formula unit.


PaAs3Ru5 after structural relaxation. Source: Alexandria via LeMat-Bulk, functional GGA-PBE.

POSCAR file:
```
PaAs3Ru5
1.0
3.033 0.000 0.000
-1.517 6.538 0.000
0.000 0.000 14.781
As Ru Pa
6 10 2
direct
0.649 0.299 0.462
0.897 0.794 0.250
0.351 0.701 0.962
0.103 0.206 0.750
0.351 0.701 0.538
0.649 0.299 0.038
0.821 0.643 0.400
0.490 0.981 0.655
0.179 0.357 0.600
0.000 0.000 0.500
0.821 0.643 0.100
0.510 0.019 0.345
0.490 0.981 0.845
0.510 0.019 0.155
0.000 0.000 0.000
0.179 0.357 0.900
0.827 0.654 0.750
0.173 0.346 0.250
```

Summary:
The raw total energy is -142.583 eV per cell. Its space-group type is Cmcm (63). As for the energy of formation from the pure elements: -0.163 eV/atom.


KMgCd2Ag after structural relaxation. Source: Alexandria via LeMat-Bulk, functional GGA-PBE.

POSCAR file:
```
KMgCd2Ag
1.0
5.412 0.000 0.000
0.000 5.412 0.000
0.000 0.000 5.251
Ag Mg Cd K
1 1 2 1
direct
0.000 0.000 0.000
0.000 0.000 0.500
0.500 0.000 0.000
0.000 0.500 0.000
0.500 0.500 0.500
```

Summary:
The raw total energy is -7.183 eV per cell. Its space-group type is P4/mmm (123). As for the energy of formation from the pure elements: 0.038 eV/atom. The energy above the most stable polymorph in this dataset is 0.00 eV per formula unit.


Na2ZnSnCl6 after structural relaxation. Source: Alexandria via LeMat-Bulk, functional GGA-PBE.

POSCAR file:
```
Na2ZnSnCl6
1.0
-7.179 1.765 1.174
-2.980 -0.546 6.688
-2.916 6.997 1.801
Zn Sn Cl Na
1 1 6 2
direct
0.376 0.187 0.157
0.831 0.800 0.505
0.017 0.521 0.716
0.989 0.471 0.258
0.632 0.215 0.208
0.607 0.157 0.784
0.289 0.910 0.349
0.412 0.773 0.771
0.492 0.501 0.506
0.017 0.128 0.760
```

Summary:
The raw total energy is -32.598 eV per cell. Its space-group type is P1 (1). The uncorrected formation energy is -1.360 eV per atom.


Fe5Co after structural relaxation. Source: Alexandria via LeMat-Bulk, functional GGA-PBE.

POSCAR file:
```
Fe5Co
1.0
-2.022 -2.190 2.704
-1.198 0.060 -3.842
2.910 -3.882 -0.968
Fe Co
5 1
direct
0.667 0.333 0.834
0.333 0.667 0.166
0.667 0.333 0.336
0.000 0.000 0.500
0.333 0.667 0.664
0.000 0.000 0.000
```

Summary:
The raw total energy is -49.550 eV per cell. Its space-group type is P-3m1 (164). As for the energy of formation from the pure elements: -0.022 eV/atom.


La8Pr2Al after structural relaxation. Source: Alexandria via LeMat-Bulk, functional GGA-PBE.

POSCAR file:
```
La8Pr2Al
1.0
5.747 0.000 -1.652
-1.142 8.318 -3.972
-0.608 -1.160 8.709
La Pr Al
8 2 1
direct
0.965 0.283 0.929
0.421 0.587 0.842
0.329 0.088 0.658
0.125 0.150 0.249
0.579 0.413 0.158
0.875 0.850 0.751
0.671 0.912 0.342
0.035 0.717 0.071
0.781 0.386 0.563
0.219 0.614 0.437
0.500 0.000 0.000
```

Summary:
The raw total energy is -52.541 eV per cell. Its space-group type is C2/m (12). As for the energy of formation from the pure elements: 0.016 eV/atom. The energy above the most stable polymorph in this dataset is 0.00 eV per formula unit.


NbTc3P after structural relaxation. Source: Alexandria via LeMat-Bulk, functional GGA-PBE.

POSCAR file:
```
NbTc3P
1.0
-0.228 -1.578 -4.452
-0.136 -4.453 1.586
-4.721 0.204 0.170
Nb P Tc
1 1 3
direct
0.000 0.000 0.000
0.500 0.500 0.500
0.500 0.000 0.000
0.000 0.500 0.000
0.000 0.000 0.500
```

Summary:
The raw total energy is -36.373 eV per cell. Its space-group type is Pm-3m (221). As for the energy of formation from the pure elements: 2.041 eV/atom. The energy above the most stable polymorph in this dataset is 9.18 eV per formula unit.


CdRuN2 after structural relaxation. Source: Alexandria via LeMat-Bulk, functional GGA-PBE.

POSCAR file:
```
CdRuN2
1.0
-3.867 5.202 2.274
-1.177 5.782 3.516
-1.735 6.613 0.667
N Ru Cd
2 1 1
direct
0.111 0.111 0.111
0.889 0.889 0.889
0.500 0.500 0.500
0.000 0.000 0.000
```

Summary:
The raw total energy is -24.260 eV per cell. Its space-group type is R-3m (166). The uncorrected formation energy is 0.645 eV per atom. The energy above the most stable polymorph in this dataset is 0.52 eV per formula unit.


PrNd5Tm2Sc after structural relaxation. Source: Alexandria via LeMat-Bulk, functional GGA-PBE.

POSCAR file:
```
PrNd5Tm2Sc
1.0
5.366 0.000 0.000
-2.683 10.976 0.000
0.000 0.000 10.313
Pr Sc Nd Tm
2 2 10 4
direct
0.601 0.202 0.008
0.399 0.798 0.508
0.783 0.567 0.509
0.217 0.433 0.009
0.279 0.557 0.697
0.721 0.443 0.197
0.002 0.005 0.508
0.722 0.443 0.820
0.998 0.995 0.008
0.278 0.557 0.320
0.374 0.749 0.008
0.626 0.251 0.508
0.500 0.000 0.758
0.500 0.000 0.258
0.883 0.767 0.260
0.116 0.233 0.257
0.117 0.233 0.760
0.884 0.767 0.757
```

Summary:
The raw total energy is -85.410 eV per cell. Its space-group type is Cmc2_1 (36). As for the energy of formation from the pure elements: 0.132 eV/atom.


Ac2PrEr after structural relaxation. Source: Alexandria via LeMat-Bulk, functional GGA-PBE.

POSCAR file:
```
Ac2PrEr
1.0
6.044 0.000 0.000
3.022 5.234 0.000
3.022 1.745 4.935
Pr Er Ac
1 1 2
direct
0.500 0.500 0.500
0.000 0.000 0.000
0.250 0.250 0.250
0.750 0.750 0.750
```

Summary:
The raw total energy is -17.112 eV per cell. Its space-group type is Fm-3m (225). As for the energy of formation from the pure elements: 0.112 eV/atom. The energy above the most stable polymorph in this dataset is 0.28 eV per formula unit.


Mn4V2W after structural relaxation. Source: Alexandria via LeMat-Bulk, functional GGA-PBE.

POSCAR file:
```
Mn4V2W
1.0
4.460 0.000 0.000
0.000 4.460 0.000
2.230 2.230 6.259
V Mn W
2 4 1
direct
0.611 0.611 0.777
0.389 0.389 0.223
0.200 0.200 0.601
0.500 0.000 0.000
0.000 0.500 0.000
0.800 0.800 0.399
0.000 0.000 0.000
```

Summary:
The raw total energy is -59.652 eV per cell. Its space-group type is I4/mmm (139). As for the energy of formation from the pure elements: 1.174 eV/atom.


CdGeRu3 after structural relaxation. Source: Alexandria via LeMat-Bulk, functional GGA-PBE.

POSCAR file:
```
CdGeRu3
1.0
4.910 0.000 0.000
0.000 4.910 0.000
0.000 0.000 4.910
Ge Ru Cd
1 3 1
direct
0.500 0.500 0.500
0.500 0.000 0.000
0.000 0.500 0.000
0.000 0.000 0.500
0.000 0.000 0.000
```

Summary:
The raw total energy is -22.203 eV per cell. Its space-group type is Pm-3m (221). As for the energy of formation from the pure elements: 2.231 eV/atom. The energy above the most stable polymorph in this dataset is 6.55 eV per formula unit.


Tl2Au2S after structural relaxation. Source: Alexandria via LeMat-Bulk, functional GGA-PBE.

POSCAR file:
```
Tl2Au2S
1.0
-2.614 -1.072 -2.583
2.262 -2.891 -1.089
-3.902 -7.120 4.066
Au Tl S
2 2 1
direct
0.250 0.750 0.500
0.750 0.250 0.500
0.407 0.407 0.187
0.593 0.593 0.813
0.000 0.000 0.000
```

Summary:
The raw total energy is -15.497 eV per cell. Its space-group type is I4/mmm (139). The uncorrected formation energy is -0.016 eV per atom. The energy above the most stable polymorph in this dataset is 0.00 eV per formula unit.


CaIn2BiPb after structural relaxation. Source: Alexandria via LeMat-Bulk, functional GGA-PBE.

POSCAR file:
```
CaIn2BiPb
1.0
5.806 0.000 0.000
0.000 5.833 0.000
0.000 0.000 5.806
Bi Pb Ca In
1 1 1 2
direct
0.000 0.500 0.000
0.500 0.500 0.500
0.000 0.000 0.000
0.000 0.000 0.500
0.500 0.000 0.000
```

Summary:
The raw total energy is -12.883 eV per cell. Its space-group type is P4/mmm (123). As for the energy of formation from the pure elements: 0.437 eV/atom. The energy above the most stable polymorph in this dataset is 2.84 eV per formula unit.


CsErP after structural relaxation. Source: Alexandria via LeMat-Bulk, functional GGA-PBE.

POSCAR file:
```
CsErP
1.0
-1.717 2.003 3.789
-1.223 -4.141 1.635
10.055 0.242 1.616
Er Cs P
2 2 2
direct
0.500 0.000 0.000
0.000 0.500 0.000
0.678 0.678 0.356
0.322 0.322 0.644
0.092 0.092 0.184
0.908 0.908 0.816
```

Summary:
The raw total energy is -25.463 eV per cell. Its space-group type is I4/mmm (139). As for the energy of formation from the pure elements: -0.635 eV/atom.


LaNiGe after structural relaxation. Source: Alexandria via LeMat-Bulk, functional GGA-PBE.

POSCAR file:
```
LaNiGe
1.0
-0.315 4.152 0.108
-1.279 -2.271 3.248
11.716 0.754 5.139
La Ni Ge
3 3 3
direct
0.495 0.989 0.334
0.495 0.989 0.666
0.495 0.989 0.000
0.161 0.323 0.832
0.828 0.656 0.500
0.161 0.323 0.168
0.161 0.323 0.500
0.828 0.656 0.834
0.828 0.656 0.166
```

Summary:
The raw total energy is -52.500 eV per cell. Its space-group type is P-6m2 (187). As for the energy of formation from the pure elements: -0.725 eV/atom.


Tb2CeHoTm5 after structural relaxation. Source: Alexandria via LeMat-Bulk, functional GGA-PBE.

POSCAR file:
```
Tb2CeHoTm5
1.0
-4.782 1.277 -2.677
-0.947 -10.670 2.517
-4.011 2.307 8.267
Tm Tb Ho Ce
10 4 2 2
direct
0.307 0.614 0.715
0.734 0.467 0.834
0.014 0.028 0.013
0.528 0.057 0.245
0.395 0.789 0.043
0.693 0.386 0.215
0.986 0.972 0.513
0.472 0.943 0.745
0.605 0.211 0.543
0.266 0.533 0.334
0.134 0.269 0.707
0.113 0.227 0.321
0.887 0.773 0.821
0.866 0.731 0.207
0.597 0.193 0.928
0.403 0.807 0.428
0.192 0.385 0.019
0.808 0.615 0.519
```

Summary:
The raw total energy is -81.170 eV per cell. Its space-group type is Cmc2_1 (36). As for the energy of formation from the pure elements: 0.172 eV/atom.